No. 1
An optimized crystal structure of TbCuCl. Source: the Alexandria database, functional GGA-PBE.

a b c (Å): 11.4983 3.5781 3.5781
angles (deg): 60.01 90.00 90.00
Element x y z (fractional)
Tb 0.1702 0.0000 0.0000
Tb 0.8298 0.0000 0.0000
Cu 0.0000 0.3334 0.3334
Cu 0.5000 0.0013 0.0013
Cl 0.3576 0.3333 0.3333
Cl 0.6424 0.3333 0.3333

Output
**Calculated density**: 6.72 g/cm³
**Energy relative to the elements, uncorrected**: -0.521 eV per atom

=====

No. 2
An optimized crystal structure of TbDy2Pb. Source: the Alexandria database, functional GGA-PBE.

a b c (Å): 6.6205 6.6205 9.4787
angles (deg): 90.00 90.00 142.62
Element x y z (fractional)
Tb 0.0567 0.9433 0.7500
Tb 0.9433 0.0567 0.2500
Dy 0.3676 0.6324 0.5529
Dy 0.3676 0.6324 0.9471
Dy 0.6324 0.3676 0.0529
Dy 0.6324 0.3676 0.4471
Pb 0.2474 0.7526 0.2500
Pb 0.7526 0.2474 0.7500

Output
**Calculated density**: 9.10 g/cm³
**Energy of formation**: -0.23 eV/atom
**ΔE to the lowest computed polymorph**: 0.056 eV/atom

=====

No. 3
An optimized crystal structure of MoPb2. Source: the Alexandria database, functional GGA-PBE.

a b c (Å): 5.6456 5.6456 9.0553
angles (deg): 110.47 110.47 34.55
Element x y z (fractional)
Mo 0.2124 0.2124 0.0744
Mo 0.7876 0.7876 0.9256
Pb 0.1623 0.1623 0.6018
Pb 0.4940 0.4940 0.8135
Pb 0.5060 0.5060 0.1865
Pb 0.8377 0.8377 0.3982

Output
**Calculated density**: 11.13 g/cm³
**Energy of formation**: 0.40 eV/atom
**ΔE to the lowest computed polymorph**: 0.000 eV/atom

=====

No. 4
An optimized crystal structure of LiTiPt. Source: the Alexandria database, functional GGA-PBE.

a b c (Å): 11.1463 11.1463 11.1463
angles (deg): 163.97 163.97 22.75
Element x y z (fractional)
Li 0.0686 0.0686 0.0000
Li 0.9314 0.9314 0.0000
Ti 0.2081 0.2081 0.0000
Ti 0.7919 0.7919 0.0000
Pt 0.3581 0.3581 0.0000
Pt 0.6419 0.6419 0.0000

Output
**Calculated density**: 7.86 g/cm³
**Energy of formation**: -0.58 eV/atom
**ΔE to the lowest computed polymorph**: 0.073 eV/atom

=====

No. 5
An optimized crystal structure of Fe2HgCl. Source: the Alexandria database, functional GGA-PBE.

a b c (Å): 4.5592 4.5592 4.5592
angles (deg): 60.00 60.00 60.00
Element x y z (fractional)
Fe 0.2500 0.2500 0.2500
Fe 0.7500 0.7500 0.7500
Hg 0.0000 0.0000 0.0000
Cl 0.5000 0.5000 0.5000

Output
**Calculated density**: 8.62 g/cm³
**ΔE to the lowest computed polymorph**: 0.537 eV/atom
**Energy relative to the elements, uncorrected**: 0.674 eV per atom

=====

No. 6
An optimized crystal structure of La3RuAu. Source: the Alexandria database, functional GGA-PBE.

a b c (Å): 6.4112 7.5331 7.7027
angles (deg): 62.30 79.68 66.42
Element x y z (fractional)
La 0.0000 0.0000 0.0000
La 0.0181 0.1898 0.4410
La 0.4533 0.2067 0.7248
La 0.4778 0.3809 0.1285
La 0.5269 0.7543 0.3552
La 0.9344 0.6108 0.8155
Ru 0.2292 0.1912 0.1039
Ru 0.7522 0.3939 0.7006
Au 0.0934 0.5926 0.4043
Au 0.3813 0.7903 0.7476

Output
**Calculated density**: 7.86 g/cm³
**Energy of formation**: -0.45 eV/atom
**ΔE to the lowest computed polymorph**: 0.038 eV/atom